Entry 1:
This record from the Alexandria database describes a relaxed Tl2SiW crystal. The functional is PBE-GGA.

Uncorrected formation energy = 0.46 eV per atom
Total DFT energy (no corrections) = -21.3 eV/cell
Volume = 22.688 Å³ per atom
Crystal system = tetragonal
Relative energy among the computed polymorphs = 0.001 eV per atom

Lattice parameters (Å, degrees): 3.292 3.292 8.375 90.00 90.00 90.00
Sites, in units of the cell vectors:
Si (0.500, 0.500, 0.674)
W (0.000, 0.000, 0.564)
Tl (0.500, 0.500, 0.305)
Tl (0.000, 0.000, 0.957)

Entry 2:
This record from the Alexandria database describes a relaxed Ti12InGa3 crystal. The functional is PBE-GGA.

Total DFT energy (no corrections) = -110.7 eV/cell
Volume = 16.726 Å³ per atom
Crystal system = orthorhombic
Calculated formation energy = -400 kJ/mol of formula units

Lattice parameters (Å, degrees): 5.117 5.116 10.223 90.00 90.00 90.00
Sites, in units of the cell vectors:
In (0.000, 0.000, 0.500)
Ti (0.500, 0.000, 0.630)
Ti (0.751, 0.500, 0.000)
Ti (0.000, 0.748, 0.756)
Ti (0.500, 0.000, 0.123)
Ti (0.744, 0.500, 0.500)
Ti (0.000, 0.252, 0.244)
Ti (0.256, 0.500, 0.500)
Ti (0.500, 0.000, 0.370)
Ti (0.500, 0.000, 0.877)
Ti (0.000, 0.748, 0.244)
Ti (0.249, 0.500, 0.000)
Ti (0.000, 0.252, 0.756)
Ga (0.500, 0.500, 0.751)
Ga (0.000, 0.000, 0.000)
Ga (0.500, 0.500, 0.249)

Entry 3:
This record from the Alexandria database describes a relaxed CsErPb2I8 crystal. The functional is PBE-GGA.

Uncorrected formation energy = -0.99 eV per atom
Total DFT energy (no corrections) = -37.1 eV/cell
Volume = 51.517 Å³ per atom
Crystal system = triclinic

Lattice parameters (Å, degrees): 7.767 7.996 10.538 75.20 81.20 79.47
Sites, in units of the cell vectors:
I (0.280, 0.213, 0.002)
I (0.135, 0.717, 0.236)
I (0.400, 0.264, 0.525)
I (0.236, 0.812, 0.810)
I (0.720, 0.787, 0.998)
I (0.764, 0.188, 0.190)
I (0.865, 0.283, 0.764)
I (0.600, 0.736, 0.475)
Pb (0.464, 0.443, 0.737)
Pb (0.536, 0.557, 0.263)
Er (0.000, 0.000, 0.000)
Cs (0.000, 0.000, 0.500)

Entry 4:
This record from the Alexandria database describes a relaxed Tl12InSn2 crystal. The functional is PBE-GGA.

Total DFT energy (no corrections) = -74.1 eV/cell
Volume = 34.445 Å³ per atom
Crystal system = tetragonal
Calculated formation energy = 203 kJ/mol of formula units

Lattice parameters (Å, degrees): 6.526 6.526 24.263 90.00 90.00 90.00
Sites, in units of the cell vectors:
Tl (0.675, 0.175, 0.439)
Tl (0.825, 0.325, 0.561)
Tl (0.175, 0.325, 0.439)
Tl (0.500, 0.500, 0.211)
Tl (0.325, 0.175, 0.561)
Tl (0.000, 0.000, 0.789)
Tl (0.751, 0.749, 0.901)
Tl (0.825, 0.675, 0.439)
Tl (0.500, 0.500, 0.789)
Tl (0.249, 0.749, 0.099)
Tl (0.000, 0.000, 0.658)
Tl (0.325, 0.825, 0.439)
Tl (0.000, 0.000, 0.342)
Tl (0.500, 0.500, 0.658)
Tl (0.000, 0.000, 0.211)
Tl (0.749, 0.751, 0.099)
Tl (0.751, 0.251, 0.099)
Tl (0.675, 0.825, 0.561)
Tl (0.175, 0.675, 0.561)
Tl (0.500, 0.500, 0.342)
Tl (0.249, 0.251, 0.901)
Tl (0.251, 0.249, 0.099)
Tl (0.251, 0.751, 0.901)
Tl (0.749, 0.249, 0.901)
Sn (0.500, 0.000, 0.798)
Sn (0.000, 0.500, 0.798)
Sn (0.500, 0.000, 0.202)
Sn (0.000, 0.500, 0.202)
In (0.000, 0.500, 0.000)
In (0.500, 0.000, 0.000)

Copy entry 4 word for word.
This record from the Alexandria database describes a relaxed Tl12InSn2 crystal. The functional is PBE-GGA.

Total DFT energy (no corrections) = -74.1 eV/cell
Volume = 34.445 Å³ per atom
Crystal system = tetragonal
Calculated formation energy = 203 kJ/mol of formula units

Lattice parameters (Å, degrees): 6.526 6.526 24.263 90.00 90.00 90.00
Sites, in units of the cell vectors:
Tl (0.675, 0.175, 0.439)
Tl (0.825, 0.325, 0.561)
Tl (0.175, 0.325, 0.439)
Tl (0.500, 0.500, 0.211)
Tl (0.325, 0.175, 0.561)
Tl (0.000, 0.000, 0.789)
Tl (0.751, 0.749, 0.901)
Tl (0.825, 0.675, 0.439)
Tl (0.500, 0.500, 0.789)
Tl (0.249, 0.749, 0.099)
Tl (0.000, 0.000, 0.658)
Tl (0.325, 0.825, 0.439)
Tl (0.000, 0.000, 0.342)
Tl (0.500, 0.500, 0.658)
Tl (0.000, 0.000, 0.211)
Tl (0.749, 0.751, 0.099)
Tl (0.751, 0.251, 0.099)
Tl (0.675, 0.825, 0.561)
Tl (0.175, 0.675, 0.561)
Tl (0.500, 0.500, 0.342)
Tl (0.249, 0.251, 0.901)
Tl (0.251, 0.249, 0.099)
Tl (0.251, 0.751, 0.901)
Tl (0.749, 0.249, 0.901)
Sn (0.500, 0.000, 0.798)
Sn (0.000, 0.500, 0.798)
Sn (0.500, 0.000, 0.202)
Sn (0.000, 0.500, 0.202)
In (0.000, 0.500, 0.000)
In (0.500, 0.000, 0.000)

Copy entry 4 word for word.
This record from the Alexandria database describes a relaxed Tl12InSn2 crystal. The functional is PBE-GGA.

Total DFT energy (no corrections) = -74.1 eV/cell
Volume = 34.445 Å³ per atom
Crystal system = tetragonal
Calculated formation energy = 203 kJ/mol of formula units

Lattice parameters (Å, degrees): 6.526 6.526 24.263 90.00 90.00 90.00
Sites, in units of the cell vectors:
Tl (0.675, 0.175, 0.439)
Tl (0.825, 0.325, 0.561)
Tl (0.175, 0.325, 0.439)
Tl (0.500, 0.500, 0.211)
Tl (0.325, 0.175, 0.561)
Tl (0.000, 0.000, 0.789)
Tl (0.751, 0.749, 0.901)
Tl (0.825, 0.675, 0.439)
Tl (0.500, 0.500, 0.789)
Tl (0.249, 0.749, 0.099)
Tl (0.000, 0.000, 0.658)
Tl (0.325, 0.825, 0.439)
Tl (0.000, 0.000, 0.342)
Tl (0.500, 0.500, 0.658)
Tl (0.000, 0.000, 0.211)
Tl (0.749, 0.751, 0.099)
Tl (0.751, 0.251, 0.099)
Tl (0.675, 0.825, 0.561)
Tl (0.175, 0.675, 0.561)
Tl (0.500, 0.500, 0.342)
Tl (0.249, 0.251, 0.901)
Tl (0.251, 0.249, 0.099)
Tl (0.251, 0.751, 0.901)
Tl (0.749, 0.249, 0.901)
Sn (0.500, 0.000, 0.798)
Sn (0.000, 0.500, 0.798)
Sn (0.500, 0.000, 0.202)
Sn (0.000, 0.500, 0.202)
In (0.000, 0.500, 0.000)
In (0.500, 0.000, 0.000)